The following is a DFT calculation (PBE) of a geometry-optimized Sc2SnSb structure.

```
Sc2SnSb
1.0
1.6690 0.9636 10.6584
-1.6690 0.9636 10.6584
0.0000 -1.9272 10.6584
Sc Sn Sb
2 1 1
direct
0.0902 0.0902 0.0902
0.9098 0.9098 0.9098
0.5000 0.5000 0.5000
0.0000 0.0000 0.0000
```

Properties
For the energy above the most stable polymorph in this dataset, the calculation gives 625 meV/atom. The calculated volume comes out at 103 Å³/cell. The space group is R-3m, No. 166. The raw total energy comes out at -5.340 eV per atom.

---

The following is a DFT calculation (PBE) of a geometry-optimized Nd8HoTm2 structure.

```
Nd8HoTm2
1.0
8.4327 -3.4004 0.0000
8.4327 3.4004 0.0000
-1.1818 0.0000 6.5976
Nd Ho Tm
8 1 2
direct
0.0954 0.0954 0.9152
0.1521 0.6744 0.5949
0.2552 0.2552 0.6780
0.3256 0.8479 0.4051
0.6744 0.1521 0.5949
0.7448 0.7448 0.3220
0.8479 0.3256 0.4051
0.9046 0.9046 0.0848
0.5000 0.5000 0.0000
0.3040 0.3040 0.1919
0.6960 0.6960 0.8081
```

Properties
For the energy above the most stable polymorph in this dataset, the calculation gives 15 meV/atom. The value obtained for the energy of formation from the pure elements is 0.172 eV per atom. The calculated volume comes out at 378 Å³/cell. The space group is C2/m, No. 12. The raw total energy comes out at -4.525 eV per atom.

---

The following is a DFT calculation (PBE) of a geometry-optimized MgTlSi2 structure.

```
MgTlSi2
1.0
-3.8998 3.8998 2.7988
3.8998 -3.8998 2.7988
3.8998 3.8998 -2.7988
Mg Tl Si
2 2 4
direct
0.0000 0.0000 0.0000
0.7500 0.2500 0.5000
0.2500 0.7500 0.5000
0.5000 0.5000 0.0000
0.1294 0.6250 0.0044
0.3750 0.3794 0.5044
0.6206 0.1250 0.9956
0.8750 0.8706 0.4956
```

Properties
For the energy above the most stable polymorph in this dataset, the calculation gives 331 meV/atom. The calculated volume comes out at 170 Å³/cell. The space group is I-42d, No. 122. The raw total energy comes out at -3.213 eV per atom.

---

The following is a DFT calculation (PBE) of a geometry-optimized TbPr5ErTm2 structure.

```
TbPr5ErTm2
1.0
2.8190 -10.2767 0.0000
2.8190 10.2767 0.0000
0.0000 0.0000 10.7621
Tb Pr Er Tm
2 10 2 4
direct
0.1983 0.8017 0.5000
0.8017 0.1983 0.0000
0.0146 0.9854 0.5041
0.2794 0.7206 0.8021
0.2963 0.7037 0.1956
0.3827 0.6173 0.5088
0.4853 0.5147 0.2336
0.5147 0.4853 0.7336
0.6173 0.3827 0.0088
0.7037 0.2963 0.6956
0.7206 0.2794 0.3021
0.9854 0.0146 0.0041
0.4068 0.5932 0.9550
0.5932 0.4068 0.4550
0.1123 0.8877 0.2306
0.1136 0.8864 0.7921
0.8864 0.1136 0.2921
0.8877 0.1123 0.7306
```

Properties
The value obtained for the energy of formation from the pure elements is 0.143 eV per atom. The calculated volume comes out at 624 Å³/cell. The space group is Cmc2_1, No. 36. The raw total energy comes out at -4.527 eV per atom.

---

The following is a DFT calculation (PBE) of a geometry-optimized LaAgSbI2 structure.

```
LaAgSbI2
1.0
5.4956 0.0000 0.0000
0.0000 5.4956 0.0000
0.0000 0.0000 5.6968
La Ag Sb I
1 1 1 2
direct
0.0000 0.0000 0.0000
0.5000 0.5000 0.5000
0.5000 0.5000 0.0000
0.0000 0.5000 0.5000
0.5000 0.0000 0.5000
```

Properties
For the energy above the most stable polymorph in this dataset, the calculation gives 0 meV/atom. The calculated volume comes out at 172 Å³/cell. The space group is P4/mmm, No. 123. The raw total energy comes out at -3.213 eV per atom.

---

The following is a DFT calculation (PBE) of a geometry-optimized KAlRu2 structure.

```
KAlRu2
1.0
3.0569 0.0000 0.0000
0.0000 3.0569 0.0000
0.0000 0.0000 8.1743
K Al Ru
1 1 2
direct
0.0000 0.0000 0.0000
0.0000 0.0000 0.5000
0.5000 0.5000 0.3353
0.5000 0.5000 0.6647
```

Properties
The value obtained for the energy of formation from the pure elements is 0.460 eV per atom. The calculated volume comes out at 76 Å³/cell. The space group is P4/mmm, No. 123. The raw total energy comes out at -5.388 eV per atom.

---

The following is a DFT calculation (PBE) of a geometry-optimized La5Os structure.

```
La5Os
1.0
6.4411 -1.8693 0.0000
6.4411 1.8693 0.0000
-2.8324 0.0000 8.0275
La Os
5 1
direct
0.0000 0.0000 0.0000
0.0246 0.0246 0.4160
0.2872 0.2872 0.1583
0.3127 0.3127 0.5732
0.6595 0.6595 0.7859
0.6533 0.6533 0.2829
```

Properties
For the energy above the most stable polymorph in this dataset, the calculation gives 0 meV/atom. The value obtained for the energy of formation from the pure elements is -0.001 eV per atom. The calculated volume comes out at 193 Å³/cell. The space group is Cm, No. 8. The raw total energy comes out at -5.979 eV per atom.

---

The following is a DFT calculation (PBE) of a geometry-optimized La2Pm3Tm4 structure.

```
La2Pm3Tm4
1.0
6.6780 0.0000 0.0000
-2.2436 8.2881 0.0000
-2.2468 -3.1974 10.8568
La Pm Tm
4 6 8
direct
0.0754 0.4419 0.2880
0.3266 0.9432 0.8334
0.6734 0.0568 0.1666
0.9246 0.5581 0.7120
0.0425 0.8071 0.4969
0.2774 0.2524 0.0686
0.3976 0.5942 0.6174
0.6024 0.4058 0.3826
0.7226 0.7476 0.9314
0.9575 0.1929 0.5031
0.1870 0.0154 0.2727
0.2287 0.6699 0.0580
0.2597 0.3509 0.8154
0.4825 0.1797 0.6017
0.5175 0.8203 0.3983
0.7403 0.6491 0.1846
0.7713 0.3301 0.9420
0.8130 0.9846 0.7273
```

Properties
For the energy above the most stable polymorph in this dataset, the calculation gives 34 meV/atom. The value obtained for the energy of formation from the pure elements is 0.062 eV per atom. The calculated volume comes out at 601 Å³/cell. The space group is P-1, No. 2. The raw total energy comes out at -4.604 eV per atom.

---

The following is a DFT calculation (PBE) of a geometry-optimized Ca3Si4Sn2O14 structure.

```
Ca3Si4Sn2O14
1.0
8.2320 -3.7745 0.0000
8.2320 3.7745 0.0000
-5.7539 0.0000 9.9976
Ca Si Sn O
6 8 4 28
direct
0.1722 0.8278 0.7500
0.2473 0.2824 0.4953
0.2824 0.2473 0.9953
0.7176 0.7527 0.0047
0.7527 0.7176 0.5047
0.8278 0.1722 0.2500
0.0108 0.2421 0.0807
0.0393 0.5722 0.2933
0.2421 0.0108 0.5807
0.4278 0.9607 0.2067
0.5722 0.0393 0.7933
0.7579 0.9892 0.4193
0.9607 0.4278 0.7067
0.9892 0.7579 0.9193
0.3042 0.6958 0.2500
0.5000 0.5000 0.0000
0.5000 0.5000 0.5000
0.6958 0.3042 0.7500
0.0022 0.5407 0.8713
0.0093 0.4855 0.6224
0.0830 0.1281 0.9428
0.1202 0.1841 0.7033
0.1281 0.0830 0.4428
0.1841 0.1202 0.2033
0.1959 0.7037 0.9130
0.2687 0.5069 0.3281
0.2963 0.8041 0.5870
0.4201 0.4379 0.6023
0.4379 0.4201 0.1023
0.4593 0.9978 0.6287
0.4855 0.0093 0.1224
0.4931 0.7313 0.1719
0.5069 0.2687 0.8281
0.5145 0.9907 0.8776
0.5407 0.0022 0.3713
0.5621 0.5799 0.8977
0.5799 0.5621 0.3977
0.7037 0.1959 0.4130
0.7313 0.4931 0.6719
0.8041 0.2963 0.0870
0.8159 0.8798 0.7967
0.8719 0.9170 0.5572
0.8798 0.8159 0.2967
0.9170 0.8719 0.0572
0.9907 0.5145 0.3776
0.9978 0.4593 0.1287
```

Properties
The calculated volume comes out at 621 Å³/cell. The space group is C2/c, No. 15. The raw total energy comes out at -7.170 eV per atom.

---

The following is a DFT calculation (PBE) of a geometry-optimized Ba2SnHAu structure.

```
Ba2SnHAu
1.0
5.9960 0.0000 0.0000
0.0000 5.9960 0.0000
0.0000 0.0000 4.0113
Ba Sn H Au
2 1 1 1
direct
0.0000 0.5000 0.0000
0.5000 0.0000 0.0000
0.0000 0.0000 0.5000
0.5000 0.5000 0.0000
0.5000 0.5000 0.5000
```

Properties
The calculated volume comes out at 144 Å³/cell. The space group is P4/mmm, No. 123. The raw total energy comes out at -3.411 eV per atom.

---

The following is a DFT calculation (PBE) of a geometry-optimized CeNiGe2Ir2 structure.

```
CeNiGe2Ir2
1.0
4.4579 0.0000 0.0000
0.0000 4.4579 0.0000
0.0000 0.0000 5.4369
Ce Ni Ge Ir
1 1 2 2
direct
0.0000 0.0000 0.0000
0.0000 0.0000 0.5000
0.0000 0.5000 0.5000
0.5000 0.0000 0.5000
0.5000 0.5000 0.2357
0.5000 0.5000 0.7643
```

Properties
The value obtained for the energy of formation from the pure elements is -0.226 eV per atom. The calculated volume comes out at 108 Å³/cell. The space group is P4/mmm, No. 123. The raw total energy comes out at -6.672 eV per atom.

---

The following is a DFT calculation (PBE) of a geometry-optimized PrRe2Si2C structure.

```
PrRe2Si2C
1.0
4.1836 0.0000 0.0000
0.0000 4.1836 0.0000
0.0000 0.0000 5.3811
Pr Re Si C
1 2 2 1
direct
0.0000 0.0000 0.0000
0.0000 0.5000 0.5000
0.5000 0.0000 0.5000
0.5000 0.5000 0.2227
0.5000 0.5000 0.7773
0.0000 0.0000 0.5000
```

Properties
The calculated volume comes out at 94 Å³/cell. The space group is P4/mmm, No. 123. The raw total energy comes out at -8.637 eV per atom.

---

The following is a DFT calculation (PBE) of a geometry-optimized RuPt8Rh6 structure.

```
RuPt8Rh6
1.0
3.4800 2.0092 5.5130
-3.4800 2.0092 5.5130
0.0000 -4.0183 5.5130
Ru Pt Rh
1 8 6
direct
0.0000 0.0000 0.0000
0.1159 0.6643 0.8173
0.1827 0.8841 0.3357
0.3357 0.1827 0.8841
0.4182 0.4182 0.4182
0.5818 0.5818 0.5818
0.6643 0.8173 0.1159
0.8173 0.1159 0.6643
0.8841 0.3357 0.1827
0.0546 0.5558 0.2759
0.2759 0.0546 0.5558
0.4442 0.7241 0.9454
0.5558 0.2759 0.0546
0.7241 0.9454 0.4442
0.9454 0.4442 0.7241
```

Properties
For the energy above the most stable polymorph in this dataset, the calculation gives 0 meV/atom. The value obtained for the energy of formation from the pure elements is 0.137 eV per atom. The calculated volume comes out at 231 Å³/cell. The space group is R-3, No. 148. The raw total energy comes out at -6.644 eV per atom.

---

The following is a DFT calculation (PBE) of a geometry-optimized Mn3Al2V2 structure.

```
Mn3Al2V2
1.0
3.5616 -2.0614 0.0000
3.5616 2.0614 0.0000
-2.3726 0.0000 6.6224
Mn Al V
3 2 2
direct
0.0000 0.0000 0.0000
0.2599 0.2599 0.7807
0.7401 0.7401 0.2193
0.1302 0.1302 0.3904
0.8698 0.8698 0.6096
0.3796 0.3796 0.1389
0.6204 0.6204 0.8611
```

Properties
The value obtained for the energy of formation from the pure elements is -0.129 eV per atom. The calculated volume comes out at 97 Å³/cell. The space group is C2/m, No. 12. The raw total energy comes out at -7.733 eV per atom.

---

The following is a DFT calculation (PBE) of a geometry-optimized MgNbVH2 structure.

```
MgNbVH2
1.0
3.8328 0.0000 0.0000
0.0000 3.8328 0.0000
0.0000 0.0000 4.7717
Mg Nb V H
1 1 1 2
direct
0.0000 0.0000 0.0000
0.5000 0.5000 0.5000
0.5000 0.5000 0.0000
0.0000 0.5000 0.5000
0.5000 0.0000 0.5000
```

Properties
The calculated volume comes out at 70 Å³/cell. The space group is P4/mmm, No. 123. The raw total energy comes out at -4.808 eV per atom.

---

The following is a DFT calculation (PBE) of a geometry-optimized SbAsHSe2 structure.

```
SbAsHSe2
1.0
5.0791 0.0000 0.0000
0.0000 5.0791 0.0000
0.0000 0.0000 3.5658
Sb As H Se
1 1 1 2
direct
0.0000 0.0000 0.0000
0.5000 0.5000 0.0000
0.5000 0.5000 0.5000
0.0000 0.5000 0.5000
0.5000 0.0000 0.5000
```

Properties
For the energy above the most stable polymorph in this dataset, the calculation gives 0 meV/atom. The calculated volume comes out at 92 Å³/cell. The space group is P4/mmm, No. 123. The raw total energy comes out at -3.399 eV per atom.

---

The following is a DFT calculation (PBE) of a geometry-optimized InRhCl2 structure.

```
InRhCl2
1.0
-2.8801 2.8801 7.0041
2.8801 -2.8801 7.0041
2.8801 2.8801 -7.0041
In Rh Cl
2 2 4
direct
0.0000 0.0000 0.0000
0.7500 0.2500 0.5000
0.2500 0.7500 0.5000
0.5000 0.5000 0.0000
0.2426 0.6250 0.1176
0.3750 0.4926 0.6176
0.5074 0.1250 0.8824
0.8750 0.7574 0.3824
```

Properties
For the energy above the most stable polymorph in this dataset, the calculation gives 370 meV/atom. The calculated volume comes out at 232 Å³/cell. The space group is I-42d, No. 122. The raw total energy comes out at -3.520 eV per atom.

---

The following is a DFT calculation (PBE) of a geometry-optimized Ba3Al2Au2 structure.

```
Ba3Al2Au2
1.0
-2.3267 2.5777 9.6582
2.3267 -2.5777 9.6582
2.3267 2.5777 -9.6582
Ba Al Au
3 2 2
direct
0.0000 0.0000 0.0000
0.1866 0.6866 0.5000
0.8134 0.3134 0.5000
0.4315 0.4315 0.0000
0.5685 0.5685 0.0000
0.3686 0.8686 0.5000
0.6314 0.1314 0.5000
```

Properties
The value obtained for the energy of formation from the pure elements is -0.477 eV per atom. The calculated volume comes out at 232 Å³/cell. The space group is Immm, No. 71. The raw total energy comes out at -3.307 eV per atom.

---

The following is a DFT calculation (PBE) of a geometry-optimized CaGa8Ir2 structure.

```
CaGa8Ir2
1.0
6.3221 0.0000 0.0000
0.0000 6.3221 0.0000
0.0000 0.0000 5.3108
Ca Ga Ir
1 8 2
direct
0.0000 0.0000 0.0000
0.2891 0.2891 0.2466
0.2891 0.2891 0.7534
0.2891 0.7109 0.2466
0.2891 0.7109 0.7534
0.7109 0.2891 0.2466
0.7109 0.2891 0.7534
0.7109 0.7109 0.2466
0.7109 0.7109 0.7534
0.0000 0.5000 0.5000
0.5000 0.0000 0.5000
```

Properties
The value obtained for the energy of formation from the pure elements is -0.206 eV per atom. The calculated volume comes out at 212 Å³/cell. The space group is P4/mmm, No. 123. The raw total energy comes out at -4.201 eV per atom.

---

The following is a DFT calculation (PBE) of a geometry-optimized CrAgSe2 structure.

```
CrAgSe2
1.0
1.8623 1.0752 6.7364
-1.8623 1.0752 6.7364
0.0000 -2.1504 6.7364
Cr Ag Se
1 1 2
direct
0.0000 0.0000 0.0000
0.8361 0.8361 0.8361
0.4031 0.4031 0.4031
0.5985 0.5985 0.5985
```

Properties
The calculated volume comes out at 81 Å³/cell. The space group is R3m, No. 160. The raw total energy comes out at -5.164 eV per atom.

---

The following is a DFT calculation (PBE) of a geometry-optimized RbNa2LiMg structure.

```
RbNa2LiMg
1.0
5.9668 0.0000 0.0000
0.0000 5.9668 0.0000
0.0000 0.0000 5.6977
Rb Na Li Mg
1 2 1 1
direct
0.0000 0.0000 0.0000
0.0000 0.5000 0.5000
0.5000 0.0000 0.5000
0.5000 0.5000 0.5000
0.5000 0.5000 0.0000
```

Properties
The value obtained for the energy of formation from the pure elements is 0.165 eV per atom. The calculated volume comes out at 203 Å³/cell. The space group is P4/mmm, No. 123. The raw total energy comes out at -1.258 eV per atom.

---

The following is a DFT calculation (PBE) of a geometry-optimized PaSbPb structure.

```
PaSbPb
1.0
5.4543 0.0000 0.0000
-2.7272 4.7236 0.0000
0.0000 0.0000 3.1508
Pa Sb Pb
1 1 1
direct
0.0000 0.0000 0.0000
0.6667 0.3333 0.5032
0.3333 0.6667 0.4987
```

Properties
For the energy above the most stable polymorph in this dataset, the calculation gives 329 meV/atom. The calculated volume comes out at 81 Å³/cell. The space group is P3m1, No. 156. The raw total energy comes out at -5.727 eV per atom.

---

The following is a DFT calculation (PBE) of a geometry-optimized LiNpGa4 structure.

```
LiNpGa4
1.0
2.8836 0.0000 0.0000
0.0000 4.5253 0.0000
0.0000 0.0000 8.2717
Li Np Ga
1 1 4
direct
0.0000 0.0000 0.0000
0.0000 0.5000 0.5000
0.5000 0.0000 0.3162
0.5000 0.0000 0.6838
0.5000 0.5000 0.1533
0.5000 0.5000 0.8467
```

Properties
The value obtained for the energy of formation from the pure elements is -0.205 eV per atom. The calculated volume comes out at 108 Å³/cell. The space group is Pmmm, No. 47. The raw total energy comes out at -4.698 eV per atom.